Below is a relaxed structure of NaAc3Pb4, with properties calculated at the GGA-PBE level.

## Properties
VASP energy in eV/cell: -31.59
Formation energy in meV/atom: -389
D(E_F) in states/eV/cell: 6.42
Crystal system: monoclinic

Cell lengths 5.9394, 5.9400, 8.8647 Å; angles 109.46, 109.57, 90.00 degrees
With the nearest neighbours (Å) after each atom.
Atoms (fractional coordinates):
Pb 0.3805 0.3807 0.7610  2 Na 3.51, 6 Ac 3.51-3.65, 1 Pb 3.74
Pb 0.6195 0.6193 0.2390  2 Na 3.51, 6 Ac 3.51-3.65, 1 Pb 3.74
Pb 0.1195 0.1197 0.2390  6 Ac 3.50-3.66, 2 Na 3.51, 1 Pb 3.73
Pb 0.8805 0.8803 0.7610  6 Ac 3.50-3.66, 2 Na 3.51, 1 Pb 3.73
Na 0.5000 0.0000 0.0000  8 Pb 3.51, 2 Ac 3.82
Ac 0.0000 0.5000 0.0000  8 Pb 3.50-3.51
Ac 0.7444 0.2439 0.4887  8 Pb 3.55-3.66, 1 Na 3.82
Ac 0.2556 0.7561 0.5113  8 Pb 3.55-3.66, 1 Na 3.82